DFT (PBE) results for a relaxed Nd4TeRuBr2 crystal.

a b c (Å): 4.1807 7.9555 7.8543
angles (deg): 107.04 90.00 90.00
Closest atoms and distances in Å follow each position.
Sites, in units of the cell vectors:
Nd1 0.0000 0.7041 0.2022  2 Ru 2.83
Nd2 0.0000 0.2959 0.7978  2 Ru 2.83
Nd3 0.5000 0.7196 0.7886  1 Ru 2.74
Nd4 0.5000 0.2804 0.2114  1 Ru 2.74
Br1 0.0000 0.5000 0.5000  6 Nd 3.20-3.21
Br2 0.5000 0.0000 0.5000  6 Nd 3.49-3.62
Ru1 0.5000 0.5000 0.0000  6 Nd 2.74-2.83
Te1 0.0000 0.0000 0.0000  6 Nd 3.15-3.20

## Properties
E_form (uncorrected), meV/atom: -1030
SG: No. 10

***

DFT (PBE) results for a relaxed Tb3Pr2Y5 crystal.

a b c (Å): 6.8611 12.4354 12.4354
angles (deg): 44.41 73.99 73.99
Closest atoms and distances in Å follow each position.
Sites, in units of the cell vectors:
Tb1 0.6245 0.6248 0.1262  1 Y 3.17, 1 Pr 3.32
Tb2 0.3755 0.3752 0.8738  1 Y 3.17, 1 Pr 3.32
Tb3 0.7500 0.0000 0.0000  4 Pr 3.30, 2 Tb 3.43
Tb4 0.8755 0.8738 0.3752  1 Y 3.17, 1 Pr 3.32
Tb5 0.2500 0.0000 0.0000  4 Pr 3.30, 2 Tb 3.43
Tb6 0.1245 0.1262 0.6248  1 Y 3.17, 1 Pr 3.32
Y1 0.6276 0.2843 0.4605  1 Pr 2.91, 1 Tb 3.17
Y2 0.4979 0.7521 0.7521  4 Y 3.33-3.43, 2 Pr 3.42
Y3 0.7500 0.5000 0.5000  6 Y 3.39-3.43
Y4 0.0021 0.2479 0.2479  4 Y 3.33-3.43, 2 Pr 3.42
Y5 0.9979 0.7521 0.7521  4 Y 3.33-3.43, 2 Pr 3.42
Y6 0.8724 0.5395 0.7157  1 Pr 2.91, 1 Tb 3.17
Y7 0.3724 0.7157 0.5395  1 Pr 2.91, 1 Tb 3.17
Y8 0.1276 0.4605 0.2843  1 Pr 2.91, 1 Tb 3.17
Y9 0.5021 0.2479 0.2479  4 Y 3.33-3.43, 2 Pr 3.42
Y10 0.2500 0.5000 0.5000  6 Y 3.39-3.43
Pr1 0.1207 0.7764 0.9821  1 Y 2.91
Pr2 0.6207 0.9821 0.7764  1 Y 2.91
Pr3 0.8793 0.2236 0.0179  1 Y 2.91
Pr4 0.3793 0.0179 0.2236  1 Y 2.91

## Properties
Energy relative to the elements, eV/atom: 0.410
Relative energy among the computed polymorphs, meV/atom: 230
SG: No. 72

***

DFT (PBE) results for a relaxed NaSm2Ga crystal.

a b c (Å): 5.3253 5.3253 5.3253
angles (deg): 60.00 60.00 60.00
Closest atoms and distances in Å follow each position.
Sites, in units of the cell vectors:
Ga1 0.0000 0.0000 0.0000  8 Sm 3.26
Sm1 0.7500 0.7500 0.7500  4 Na 3.26, 4 Ga 3.26
Sm2 0.2500 0.2500 0.2500  4 Na 3.26, 4 Ga 3.26
Na1 0.5000 0.5000 0.5000  8 Sm 3.26

## Properties
Energy relative to the elements, eV/atom: -0.138
Relative energy among the computed polymorphs, meV/atom: 34
SG: No. 225

***

DFT (PBE) results for a relaxed Re3BrO crystal.

a b c (Å): 4.1813 4.1813 4.1813
angles (deg): 90.00 90.00 90.00
Closest atoms and distances in Å follow each position.
Sites, in units of the cell vectors:
Re1 0.0000 0.0000 0.5000  2 O 2.09
Re2 0.5000 0.0000 0.0000  2 O 2.09
Re3 0.0000 0.5000 0.0000  2 O 2.09
O1 0.0000 0.0000 0.0000  6 Re 2.09
Br1 0.5000 0.5000 0.5000  12 Re 2.96

## Properties
E_form (uncorrected), meV/atom: 1466
Relative energy among the computed polymorphs, meV/atom: 0
SG: No. 221

***

DFT (PBE) results for a relaxed Y2AlZn3Cu12 crystal.

a b c (Å): 6.5069 6.5069 6.5069
angles (deg): 84.67 84.67 84.67
Closest atoms and distances in Å follow each position.
Sites, in units of the cell vectors:
Cu1 0.5832 0.5832 0.1374  4 Cu 2.40-2.60
Cu2 0.1374 0.5832 0.5832  4 Cu 2.40-2.60
Cu3 0.4168 0.4168 0.8626  4 Cu 2.40-2.60
Cu4 0.1968 0.7256 0.1968  5 Cu 2.40-2.60, 1 Al 2.43, 1 Zn 2.54
Cu5 0.7256 0.1968 0.1968  5 Cu 2.40-2.60, 1 Al 2.43, 1 Zn 2.54
Cu6 0.8032 0.2744 0.8032  5 Cu 2.40-2.60, 1 Al 2.43, 1 Zn 2.54
Cu7 0.8032 0.8032 0.2744  5 Cu 2.40-2.60, 1 Al 2.43, 1 Zn 2.54
Cu8 0.2744 0.8032 0.8032  5 Cu 2.40-2.60, 1 Al 2.43, 1 Zn 2.54
Cu9 0.1968 0.1968 0.7256  5 Cu 2.40-2.60, 1 Al 2.43, 1 Zn 2.54
Cu10 0.4168 0.8626 0.4168  4 Cu 2.40-2.60
Cu11 0.8626 0.4168 0.4168  4 Cu 2.40-2.60
Cu12 0.5832 0.1374 0.5832  4 Cu 2.40-2.60
Zn1 0.5000 0.0000 0.0000  6 Cu 2.54-2.80
Zn2 0.0000 0.5000 0.0000  6 Cu 2.54-2.80
Zn3 0.0000 0.0000 0.5000  6 Cu 2.54-2.80
Al1 0.0000 0.0000 0.0000  6 Cu 2.43
Y1 0.2929 0.2929 0.2929  9 Cu 2.85-2.90, 3 Zn 2.97
Y2 0.7071 0.7071 0.7071  9 Cu 2.85-2.90, 3 Zn 2.97

## Properties
Energy relative to the elements, eV/atom: 0.017
SG: No. 166

***

DFT (PBE) results for a relaxed LiNi2PtN crystal.

a b c (Å): 3.7341 3.7341 4.1867
angles (deg): 90.00 90.00 90.00
Closest atoms and distances in Å follow each position.
Sites, in units of the cell vectors:
Pt1 0.0000 0.0000 0.5000  2 N 2.09
Ni1 0.5000 0.0000 0.0000  2 N 1.87
Ni2 0.0000 0.5000 0.0000  2 N 1.87
N1 0.0000 0.0000 0.0000  4 Ni 1.87
Li1 0.5000 0.5000 0.5000  4 Pt 2.64, 8 Ni 2.81

## Properties
E_form (uncorrected), meV/atom: -76
Relative energy among the computed polymorphs, meV/atom: 73
SG: No. 123

***

DFT (PBE) results for a relaxed GaCuNi3 crystal.

a b c (Å): 4.2748 4.2748 4.2748
angles (deg): 90.00 90.00 90.00
Closest atoms and distances in Å follow each position.
Sites, in units of the cell vectors:
Cu1 0.0000 0.0000 0.0000  6 Ni 2.14
Ga1 0.5000 0.5000 0.5000  12 Ni 3.02
Ni1 0.0000 0.0000 0.5000  2 Cu 2.14
Ni2 0.0000 0.5000 0.0000  2 Cu 2.14
Ni3 0.5000 0.0000 0.0000  2 Cu 2.14

## Properties
Energy relative to the elements, eV/atom: 0.865
Relative energy among the computed polymorphs, meV/atom: 803
SG: No. 221

***

DFT (PBE) results for a relaxed U2MnS6 crystal.

a b c (Å): 6.9867 5.8872 8.4762
angles (deg): 89.91 90.00 90.00
Closest atoms and distances in Å follow each position.
Sites, in units of the cell vectors:
S1 0.6900 0.8486 0.5577  1 Mn 2.39
S2 0.4648 0.6358 0.2560  1 Mn 2.33
S3 0.8317 0.3382 0.4456  1 Mn 2.36
S4 0.9648 0.8642 0.2440  1 Mn 2.33
S5 0.3317 0.1618 0.0544  1 Mn 2.36
S6 0.3100 0.1514 0.4423  1 Mn 2.39
S7 0.1900 0.6514 0.9423  1 Mn 2.39
S8 0.5352 0.3642 0.7440  1 Mn 2.33
S9 0.8100 0.3486 0.0577  1 Mn 2.39
S10 0.0352 0.1358 0.7560  1 Mn 2.33
S11 0.6683 0.8382 0.9456  1 Mn 2.36
S12 0.1683 0.6618 0.5544  1 Mn 2.36
U1 0.3749 0.9413 0.7433  7 S 2.64-2.87
U2 0.8749 0.5587 0.7567  7 S 2.64-2.87
U3 0.1251 0.4413 0.2433  7 S 2.64-2.87
U4 0.6251 0.0587 0.2567  7 S 2.64-2.87
Mn1 0.0000 0.0000 0.5000  6 S 2.33-2.39
Mn2 0.5000 0.5000 0.0000  6 S 2.33-2.39

## Properties
E_form (uncorrected), meV/atom: -1110
Relative energy among the computed polymorphs, meV/atom: 0
SG: No. 14